# 1
Here is a relaxed LiVPd2 crystal from Alexandria. Energies are from PBE.

a b c (Å): 2.7883 2.7883 8.7193
angles (deg): 80.80 80.80 60.00
Fractional coordinates of all 4 atoms:
Li  0.5000  0.5000  0.5000
Pd  0.2509  0.2509  0.2472
Pd  0.7491  0.7491  0.7528
V  0.0000  0.0000  0.0000

- DFT formation energy: -0.870 eV/f.u.

# 2
Here is a relaxed LiVPd2 crystal from Alexandria. Energies are from PBE.

a b c (Å): 2.8153 4.5070 4.5070
angles (deg): 90.00 90.00 90.00
Site moments in Bohr magnetons follow the coordinates.
Fractional coordinates of all 4 atoms:
Pd  0.0000  0.0000  0.5000  0.07
Pd  0.0000  0.5000  0.0000  0.07
Li  0.5000  0.0000  0.0000  -0.01
V  0.5000  0.5000  0.5000  1.27

- DFT formation energy: -0.925 eV/f.u.

# 3
Here is a relaxed LiPd6W crystal from Alexandria. Energies are from PBE.

a b c (Å): 3.9390 3.9390 7.7329
angles (deg): 90.00 90.00 90.00
Fractional coordinates of all 8 atoms:
Pd  0.5000  0.5000  0.0000
Pd  0.5000  0.5000  0.5000
Pd  0.0000  0.5000  0.7444
Pd  0.0000  0.5000  0.2556
Pd  0.5000  0.0000  0.7444
Pd  0.5000  0.0000  0.2556
Li  0.0000  0.0000  0.0000
W  0.0000  0.0000  0.5000

- DFT formation energy: -1.615 eV/f.u.

Results for density: 7.79 7.86 11.48 (in g/cm³, following the order of the records).
Results for DOS(E_F): 3.33 3.63 6.36 (in states/eV per cell, following the order of the records).